# Ho2ErGe2 PBE-GGA relaxed
# Total DFT energy (no corrections) ... -26.33 eV per formula unit
# D(E_F) ... 0.592 states/eV per atom
# Energy of formation from the pure elements ... -0.6752 eV/atom
data_Ho2ErGe2
_chemical_formula_sum 'Ho8 Er4 Ge8'
_cell_length_a 12.1717
_cell_length_b 4.3574
_cell_length_c 10.3807
_cell_angle_alpha 90.00
_cell_angle_beta 117.12
_cell_angle_gamma 90.00
_space_group_name_H-M_alt 'C 1 2/m 1'
_space_group_IT_number 12
_space_group_name_Hall '-C 2y'
loop_
_atom_site_label
_atom_site_fract_x
_atom_site_fract_y
_atom_site_fract_z
Ho1 0.0174 0.0000 0.1863
Ho2 0.1833 0.0000 0.5856
Er1 0.2170 0.5000 0.8567
Ge1 0.0309 0.5000 0.3927
Ge2 0.1194 0.5000 0.0663



# LiPmY4S8 PBE-GGA relaxed
# Total DFT energy (no corrections) ... -92.99 eV per formula unit
# D(E_F) ... 0.000 states/eV per atom
# E_form (uncorrected) ... -1.96 eV per atom
data_LiPmY4S8
_chemical_formula_sum 'Li3 Pm3 Y12 S24'
_cell_length_a 8.0336
_cell_length_b 8.0336
_cell_length_c 19.9100
_cell_angle_alpha 90.00
_cell_angle_beta 90.00
_cell_angle_gamma 120.00
_space_group_name_H-M_alt 'R 3 m'
_space_group_IT_number 160
_space_group_name_Hall 'R 3 -2"'
loop_
_atom_site_label
_atom_site_fract_x
_atom_site_fract_y
_atom_site_fract_z
Li1 0.0000 0.0000 0.0000
Pm1 0.0000 0.0000 0.6286
Y1 0.0000 0.0000 0.2503
Y2 0.1728 0.3456 0.4563
S1 0.0000 0.0000 0.3831
S2 0.0000 0.0000 0.8673
S3 0.0144 0.5072 0.3785
S4 0.1758 0.3516 0.2029



# KY4PuS8 PBE-GGA relaxed
# Total DFT energy (no corrections) ... -100.15 eV per formula unit
# D(E_F) ... 0.604 states/eV per atom
# E_form (uncorrected) ... -1.85 eV per atom
data_KY4PuS8
_chemical_formula_sum 'K3 Y12 Pu3 S24'
_cell_length_a 8.2148
_cell_length_b 8.2148
_cell_length_c 20.3697
_cell_angle_alpha 90.00
_cell_angle_beta 90.00
_cell_angle_gamma 120.00
_space_group_name_H-M_alt 'R 3 m'
_space_group_IT_number 160
_space_group_name_Hall 'R 3 -2"'
loop_
_atom_site_label
_atom_site_fract_x
_atom_site_fract_y
_atom_site_fract_z
K1 0.0000 0.0000 0.0000
Y1 0.0000 0.0000 0.2509
Y2 0.1723 0.3446 0.4578
Pu1 0.0000 0.0000 0.6286
S1 0.0000 0.0000 0.3829
S2 0.0000 0.0000 0.8592
S3 0.0451 0.5226 0.3817
S4 0.1752 0.3505 0.2045



# La2Nd6Y3 PBE-GGA relaxed
# Total DFT energy (no corrections) ... -56.08 eV per formula unit
# D(E_F) ... 1.528 states/eV per atom
# Distance to the lowest polymorph of the same formula ... 0.000 eV/atom
# Energy of formation from the pure elements ... 0.1615 eV/atom
data_La2Nd6Y3
_chemical_formula_sum 'La4 Nd12 Y6'
_cell_length_a 6.2728
_cell_length_b 10.8774
_cell_length_c 11.9688
_cell_angle_alpha 90.00
_cell_angle_beta 100.20
_cell_angle_gamma 90.00
_space_group_name_H-M_alt 'C 1 2/m 1'
_space_group_IT_number 12
_space_group_name_Hall '-C 2y'
loop_
_atom_site_label
_atom_site_fract_x
_atom_site_fract_y
_atom_site_fract_z
La1 0.0000 0.1668 0.0000
Nd1 0.2495 0.1664 0.7469
Nd2 0.2488 0.5000 0.7470
Y1 0.0000 0.0000 0.5000
Y2 0.0000 0.3347 0.5000



# LaMn2Se PBE-GGA relaxed
# Total DFT energy (no corrections) ... -27.12 eV per formula unit
# D(E_F) ... 0.910 states/eV per atom
# E_form (uncorrected) ... -0.09 eV per atom
data_LaMn2Se
_chemical_formula_sum 'La2 Mn4 Se2'
_cell_length_a 3.4450
_cell_length_b 4.9445
_cell_length_c 10.3556
_cell_angle_alpha 90.00
_cell_angle_beta 90.00
_cell_angle_gamma 90.00
_space_group_name_H-M_alt 'I m m m'
_space_group_IT_number 71
_space_group_name_Hall '-I 2 2'
loop_
_atom_site_label
_atom_site_fract_x
_atom_site_fract_y
_atom_site_fract_z
La1 0.0000 0.0000 0.0000
Mn1 0.0000 0.5000 0.2186
Se1 0.0000 0.0000 0.5000



# HfNbSi PBE-GGA relaxed
# Total DFT energy (no corrections) ... -26.62 eV per formula unit
# D(E_F) ... 0.868 states/eV per atom
# E_form (uncorrected) ... -0.39 eV per atom
data_HfNbSi
_chemical_formula_sum 'Hf2 Nb2 Si2'
_cell_length_a 3.4516
_cell_length_b 3.4516
_cell_length_c 8.9572
_cell_angle_alpha 90.00
_cell_angle_beta 90.00
_cell_angle_gamma 90.00
_space_group_name_H-M_alt 'I 4 m m'
_space_group_IT_number 107
_space_group_name_Hall 'I 4 -2'
loop_
_atom_site_label
_atom_site_fract_x
_atom_site_fract_y
_atom_site_fract_z
Hf1 0.0000 0.0000 0.0000
Nb1 0.0000 0.0000 0.3160
Si1 0.0000 0.0000 0.6725



# RbUNiTe3 PBE-GGA relaxed
# Total DFT energy (no corrections) ... -31.39 eV per formula unit
# D(E_F) ... 1.210 states/eV per atom
# E_form (uncorrected) ... -0.65 eV per atom
data_RbUNiTe3
_chemical_formula_sum 'Rb2 U2 Ni2 Te6'
_cell_length_a 10.1867
_cell_length_b 4.2307
_cell_length_c 10.4303
_cell_angle_alpha 90.00
_cell_angle_beta 113.72
_cell_angle_gamma 90.00
_space_group_name_H-M_alt 'P 1 21/m 1'
_space_group_IT_number 11
_space_group_name_Hall '-P 2yb'
loop_
_atom_site_label
_atom_site_fract_x
_atom_site_fract_y
_atom_site_fract_z
Rb1 0.2149 0.2500 0.2485
U1 0.3119 0.7500 0.8399
Ni1 0.0900 0.2500 0.6018
Te1 0.1096 0.2500 0.8582
Te2 0.1844 0.7500 0.5279
Te3 0.4691 0.7500 0.1643



# CrCoPt PBE-GGA relaxed
# Total DFT energy (no corrections) ... -22.63 eV per formula unit
# D(E_F) ... 1.146 states/eV per atom
# Distance to the lowest polymorph of the same formula ... 0.142 eV/atom
# Energy of formation from the pure elements ... 0.0481 eV/atom
data_CrCoPt
_chemical_formula_sum 'Cr2 Co2 Pt2'
_cell_length_a 4.9764
_cell_length_b 2.7151
_cell_length_c 5.9096
_cell_angle_alpha 90.00
_cell_angle_beta 101.99
_cell_angle_gamma 90.00
_space_group_name_H-M_alt 'P 1 21/m 1'
_space_group_IT_number 11
_space_group_name_Hall '-P 2yb'
loop_
_atom_site_label
_atom_site_fract_x
_atom_site_fract_y
_atom_site_fract_z
Cr1 0.0889 0.2500 0.3803
Co1 0.4192 0.7500 0.6402
Pt1 0.2359 0.2500 0.9555



# ScSb2P PBE-GGA relaxed
# Total DFT energy (no corrections) ... -20.63 eV per formula unit
# D(E_F) ... 0.615 states/eV per atom
# E_form (uncorrected) ... -0.16 eV per atom
data_ScSb2P
_chemical_formula_sum 'Sc2 Sb4 P2'
_cell_length_a 4.1698
_cell_length_b 4.1698
_cell_length_c 10.3116
_cell_angle_alpha 90.00
_cell_angle_beta 90.00
_cell_angle_gamma 90.00
_space_group_name_H-M_alt 'I -4 m 2'
_space_group_IT_number 119
_space_group_name_Hall 'I -4 -2'
loop_
_atom_site_label
_atom_site_fract_x
_atom_site_fract_y
_atom_site_fract_z
Sc1 0.0000 0.0000 0.0000
Sb1 0.0000 0.0000 0.5000
Sb2 0.0000 0.5000 0.2500
P1 0.0000 0.5000 0.7500



# K3Na3TeP6H6O24 PBE-GGA relaxed
# Total DFT energy (no corrections) ... -261.81 eV per formula unit
# D(E_F) ... 0.000 states/eV per atom
# Distance to the lowest polymorph of the same formula ... 0.000 eV/atom
data_K3Na3TeP6H6O24
_chemical_formula_sum 'K18 Na18 Te6 P36 H36 O144'
_cell_length_a 11.0550
_cell_length_b 11.0550
_cell_length_c 32.7272
_cell_angle_alpha 90.00
_cell_angle_beta 90.00
_cell_angle_gamma 120.00
_space_group_name_H-M_alt 'R -3 c'
_space_group_IT_number 167
_space_group_name_Hall '-R 3 2"c'
loop_
_atom_site_label
_atom_site_fract_x
_atom_site_fract_y
_atom_site_fract_z
K1 0.0000 0.3780 0.2500
Na1 0.0000 0.1956 0.7500
Te1 0.0000 0.0000 0.0000
P1 0.0018 0.1529 0.1593
H1 0.0542 0.2347 0.0281
O1 0.0022 0.1327 0.8542
O2 0.0036 0.2614 0.1315
O3 0.0054 0.1712 0.2049
O4 0.0802 0.1630 0.0354



# ErPuO2 PBE-GGA relaxed
# Total DFT energy (no corrections) ... -39.73 eV per formula unit
# D(E_F) ... 2.103 states/eV per atom
# E_form (uncorrected) ... -2.73 eV per atom
data_ErPuO2
_chemical_formula_sum 'Er3 Pu3 O6'
_cell_length_a 3.5192
_cell_length_b 3.5192
_cell_length_c 19.8845
_cell_angle_alpha 90.00
_cell_angle_beta 90.00
_cell_angle_gamma 120.00
_space_group_name_H-M_alt 'R -3 m'
_space_group_IT_number 166
_space_group_name_Hall '-R 3 2"'
loop_
_atom_site_label
_atom_site_fract_x
_atom_site_fract_y
_atom_site_fract_z
Er1 0.0000 0.0000 0.0000
Pu1 0.0000 0.0000 0.5000
O1 0.0000 0.0000 0.3866



# La2SnGeCl PBE-GGA relaxed
# Total DFT energy (no corrections) ... -21.03 eV per formula unit
# D(E_F) ... 1.142 states/eV per atom
# E_form (uncorrected) ... -0.14 eV per atom
data_La2SnGeCl
_chemical_formula_sum 'La2 Sn1 Ge1 Cl1'
_cell_length_a 6.1065
_cell_length_b 6.1065
_cell_length_c 5.0556
_cell_angle_alpha 90.00
_cell_angle_beta 90.00
_cell_angle_gamma 90.00
_space_group_name_H-M_alt 'P 4/m m m'
_space_group_IT_number 123
_space_group_name_Hall '-P 4 2'
loop_
_atom_site_label
_atom_site_fract_x
_atom_site_fract_y
_atom_site_fract_z
La1 0.0000 0.5000 0.0000
Sn1 0.0000 0.0000 0.0000
Ge1 0.0000 0.0000 0.5000
Cl1 0.5000 0.5000 0.5000



Copy entry 3 word for word.
# KY4PuS8 PBE-GGA relaxed
# Total DFT energy (no corrections) ... -100.15 eV per formula unit
# D(E_F) ... 0.604 states/eV per atom
# E_form (uncorrected) ... -1.85 eV per atom
data_KY4PuS8
_chemical_formula_sum 'K3 Y12 Pu3 S24'
_cell_length_a 8.2148
_cell_length_b 8.2148
_cell_length_c 20.3697
_cell_angle_alpha 90.00
_cell_angle_beta 90.00
_cell_angle_gamma 120.00
_space_group_name_H-M_alt 'R 3 m'
_space_group_IT_number 160
_space_group_name_Hall 'R 3 -2"'
loop_
_atom_site_label
_atom_site_fract_x
_atom_site_fract_y
_atom_site_fract_z
K1 0.0000 0.0000 0.0000
Y1 0.0000 0.0000 0.2509
Y2 0.1723 0.3446 0.4578
Pu1 0.0000 0.0000 0.6286
S1 0.0000 0.0000 0.3829
S2 0.0000 0.0000 0.8592
S3 0.0451 0.5226 0.3817
S4 0.1752 0.3505 0.2045